1.
GaPRh: optimized geometry, PBE-GGA.

a = 6.3083 Å, b = 5.9640 Å, c = 6.4219 Å
α = 90.00°, β = 127.31°, γ = 90.00°
With the nearest neighbours (Å) after each atom.
Element x y z (fractional)
1 Ga 0.5620 0.3479 0.9127  2 P 2.42-2.67, 3 Rh 2.55-2.58
2 Ga 0.0620 0.6521 0.4127  2 P 2.42-2.67, 3 Rh 2.55-2.58
3 Ga 0.5620 0.8479 0.4127  2 P 2.42-2.67, 3 Rh 2.55-2.58
4 Ga 0.0620 0.1521 0.9127  2 P 2.42-2.67, 3 Rh 2.55-2.58
5 Rh 0.2291 0.5326 0.1519  3 P 2.33-2.43, 3 Ga 2.55-2.58
6 Rh 0.2291 0.0326 0.6519  3 P 2.33-2.43, 3 Ga 2.55-2.58
7 Rh 0.7291 0.9674 0.1519  3 P 2.33-2.43, 3 Ga 2.55-2.58
8 Rh 0.7291 0.4674 0.6519  3 P 2.33-2.43, 3 Ga 2.55-2.58
9 P 0.8895 0.2973 0.4323  3 Rh 2.33-2.43, 1 Ga 2.42
10 P 0.3895 0.2027 0.4323  3 Rh 2.33-2.43, 1 Ga 2.42
11 P 0.8895 0.7973 0.9323  3 Rh 2.33-2.43, 1 Ga 2.42
12 P 0.3895 0.7027 0.9323  3 Rh 2.33-2.43, 1 Ga 2.42

Values from the calculation:
* E_tot: -5.68 eV/atom
* magnetization: 0.00 μB/cell
* offset from the most stable computed form: 47 meV/atom


2.
CsBePdI2: optimized geometry, PBE-GGA.

a = 7.2471 Å, b = 6.7883 Å, c = 7.2471 Å
α = 90.00°, β = 90.00°, γ = 90.00°
With the nearest neighbours (Å) after each atom.
Element x y z (fractional)
1 Be 0.0000 0.5000 0.0000  2 Cs 3.39
2 Pd 0.5000 0.5000 0.5000  8 I 4.96, 4 Be 5.12
3 Cs 0.0000 0.0000 0.0000  2 Be 3.39, 4 I 3.62
4 I 0.0000 0.0000 0.5000  2 Cs 3.62
5 I 0.5000 0.0000 0.0000  2 Cs 3.62

Values from the calculation:
* E_tot: -1.55 eV/atom
* formation energy (no corrections): 1.0200 eV per atom
* magnetization: 1.00 μB/cell


3.
LiAgHAu2: optimized geometry, PBE-GGA.

a = 4.1246 Å, b = 4.1246 Å, c = 4.1423 Å
α = 90.00°, β = 90.00°, γ = 90.00°
With the nearest neighbours (Å) after each atom.
Element x y z (fractional)
1 H 0.0000 0.0000 0.0000  4 Au 2.06, 2 Li 2.07
2 Au 0.5000 0.0000 0.0000  2 H 2.06
3 Au 0.0000 0.5000 0.0000  2 H 2.06
4 Ag 0.5000 0.5000 0.5000  4 Li 2.92, 8 Au 2.92
5 Li 0.0000 0.0000 0.5000  2 H 2.07

Values from the calculation:
* E_tot: -3.05 eV/atom
* magnetization: 0.00 μB/cell
* offset from the most stable computed form: 0 meV/atom


4.
Al6ZnAg3: optimized geometry, PBE-GGA.

a = 2.9362 Å, b = 2.9362 Å, c = 22.4323 Å
α = 90.00°, β = 90.00°, γ = 120.00°
With the nearest neighbours (Å) after each atom.
Element x y z (fractional)
1 Al 0.6667 0.3333 0.5984  3 Zn 2.78, 3 Ag 2.85, 6 Al 2.94
2 Al 0.6667 0.3333 0.9004  3 Ag 2.80, 9 Al 2.82-2.94
3 Al 0.3333 0.6667 0.8002  3 Ag 2.81, 9 Al 2.82-2.94
4 Al 0.6667 0.3333 0.1998  3 Ag 2.81, 9 Al 2.82-2.94
5 Al 0.3333 0.6667 0.4016  3 Zn 2.78, 3 Ag 2.85, 6 Al 2.94
6 Al 0.3333 0.6667 0.0996  3 Ag 2.80, 9 Al 2.82-2.94
7 Ag 0.0000 0.0000 0.2997  6 Al 2.81-2.85, 6 Ag 2.94
8 Ag 0.0000 0.0000 0.0000  6 Al 2.80, 6 Ag 2.94
9 Ag 0.0000 0.0000 0.7003  6 Al 2.81-2.85, 6 Ag 2.94
10 Zn 0.0000 0.0000 0.5000  6 Al 2.78, 6 Zn 2.94

Values from the calculation:
* E_tot: -3.24 eV/atom
* magnetization: 0.00 μB/cell


5.
Sc6TcRu: optimized geometry, PBE-GGA.

a = 4.6173 Å, b = 4.6173 Å, c = 8.5464 Å
α = 74.33°, β = 74.33°, γ = 90.00°
With the nearest neighbours (Å) after each atom.
Element x y z (fractional)
1 Sc 0.9039 0.4039 0.1922  2 Ru 2.76, 2 Tc 2.76, 1 Sc 3.04
2 Sc 0.4039 0.9039 0.1922  2 Tc 2.76, 2 Ru 2.76, 1 Sc 3.04
3 Sc 0.2491 0.2492 0.5017  12 Sc 3.26-3.36
4 Sc 0.5961 0.0961 0.8078  2 Tc 2.76, 2 Ru 2.76, 1 Sc 3.04
5 Sc 0.0961 0.5961 0.8078  2 Ru 2.76, 2 Tc 2.76, 1 Sc 3.04
6 Sc 0.7509 0.7508 0.4983  12 Sc 3.26-3.36
7 Tc 0.0000 0.0000 0.0000  8 Sc 2.76
8 Ru 0.5000 0.5000 0.0000  8 Sc 2.76

Values from the calculation:
* E_tot: -7.42 eV/atom
* magnetization: 0.68 μB/cell


6.
CaHf2TcBr: optimized geometry, PBE-GGA.

a = 5.4028 Å, b = 4.4174 Å, c = 5.4028 Å
α = 90.00°, β = 90.00°, γ = 90.00°
With the nearest neighbours (Å) after each atom.
Element x y z (fractional)
1 Hf 0.0000 0.0000 0.5000  2 Ca 2.70
2 Hf 0.5000 0.0000 0.0000  2 Ca 2.70
3 Ca 0.0000 0.0000 0.0000  2 Tc 2.21
4 Br 0.5000 0.5000 0.5000  8 Hf 3.49, 4 Tc 3.82
5 Tc 0.0000 0.5000 0.0000  2 Ca 2.21

Values from the calculation:
* E_tot: -4.80 eV/atom
* formation energy (no corrections): 1.9847 eV per atom
* magnetization: 0.00 μB/cell